[1]
# MgCdTc2, relaxed, DFT PBEsol
# Energy of formation in eV/atom: 0.4722
# Energy relative to the lowest polymorph listed for this composition in eV per atom: 0.434
# Final energy in eV per atom: -5.889
# Total magnetization in μB per cell: 0.0
data_MgCdTc2
_chemical_formula_sum 'Mg1 Cd1 Tc2'
_space_group_name_H-M_alt 'P 4/m m m'
_space_group_IT_number 123
_space_group_name_Hall '-P 4 2'
_cell_length_a 2.6591
_cell_length_b 2.6591
_cell_length_c 9.0194
_cell_angle_alpha 90.00
_cell_angle_beta 90.00
_cell_angle_gamma 90.00
loop_
_atom_site_label
_atom_site_type_symbol
_atom_site_fract_x
_atom_site_fract_y
_atom_site_fract_z
Mg1 Mg 0.0000 0.0000 0.0000
Cd1 Cd 0.0000 0.0000 0.5000
Tc1 Tc 0.5000 0.5000 0.2455

***

[2]
# MgCdTe2, relaxed, DFT PBEsol
# Raw formation energy in kJ/mol of atoms: -58
# Final energy in eV per atom: -3.091
# Total magnetization in μB per cell: 0.0
data_MgCdTe2
_chemical_formula_sum 'Mg4 Cd4 Te8'
_space_group_name_H-M_alt 'I -4 2 d'
_space_group_IT_number 122
_space_group_name_Hall 'I -4 2bw'
_cell_length_a 6.4654
_cell_length_b 6.4654
_cell_length_c 12.9620
_cell_angle_alpha 90.00
_cell_angle_beta 90.00
_cell_angle_gamma 90.00
loop_
_atom_site_label
_atom_site_type_symbol
_atom_site_fract_x
_atom_site_fract_y
_atom_site_fract_z
Mg1 Mg 0.0000 0.0000 0.0000
Cd1 Cd 0.0000 0.0000 0.5000
Te1 Te 0.2464 0.2500 0.1250

***

[3]
# MgCd2Te, relaxed, DFT PBEsol
# Raw formation energy in kJ/mol of atoms: -18
# Final energy in eV per atom: -2.100
# Total magnetization in μB per cell: 0.0
data_MgCd2Te
_chemical_formula_sum 'Mg1 Cd2 Te1'
_space_group_name_H-M_alt 'P 1 m 1'
_space_group_IT_number 6
_cell_length_a 4.0174
_cell_length_b 3.9412
_cell_length_c 6.6237
_cell_angle_alpha 90.00
_cell_angle_beta 107.20
_cell_angle_gamma 90.00
loop_
_space_group_symop_operation_xyz
'x,y,z'
'x,-y,z'
loop_
_atom_site_label
_atom_site_type_symbol
_atom_site_fract_x
_atom_site_fract_y
_atom_site_fract_z
Mg1 Mg 0.0000 0.0000 0.0000
Cd1 Cd 0.3383 0.5000 0.6630
Cd2 Cd 0.7755 0.0000 0.5351
Te1 Te 0.5719 0.5000 0.1468

***

[4]
# MgCdTe2, relaxed, DFT PBEsol
# Raw formation energy in kJ/mol of atoms: -58
# Final energy in eV per atom: -3.091
# Total magnetization in μB per cell: 0.0
data_MgCdTe2
_chemical_formula_sum 'Mg3 Cd3 Te6'
_space_group_name_H-M_alt 'R 3 m'
_space_group_IT_number 160
_space_group_name_Hall 'R 3 -2"'
_cell_length_a 4.5800
_cell_length_b 4.5800
_cell_length_c 22.3709
_cell_angle_alpha 90.00
_cell_angle_beta 90.00
_cell_angle_gamma 120.00
loop_
_atom_site_label
_atom_site_type_symbol
_atom_site_fract_x
_atom_site_fract_y
_atom_site_fract_z
Mg1 Mg 0.0000 0.0000 0.0000
Cd1 Cd 0.0000 0.0000 0.5012
Te1 Te 0.0000 0.0000 0.1249
Te2 Te 0.0000 0.0000 0.6270

***

[5]
# MgCdTe2, relaxed, DFT PBEsol
# Raw formation energy in kJ/mol of atoms: -58
# Final energy in eV per atom: -3.090
# Total magnetization in μB per cell: 0.0
data_MgCdTe2
_chemical_formula_sum 'Mg1 Cd1 Te2'
_space_group_name_H-M_alt 'P -4 m 2'
_space_group_IT_number 115
_cell_length_a 4.5829
_cell_length_b 4.5829
_cell_length_c 6.4493
_cell_angle_alpha 90.00
_cell_angle_beta 90.00
_cell_angle_gamma 90.00
loop_
_space_group_symop_operation_xyz
'x,y,z'
'y,-x,-z'
'-x,-y,z'
'-y,x,-z'
'-x,y,z'
'-y,-x,-z'
'x,-y,z'
'y,x,-z'
loop_
_atom_site_label
_atom_site_type_symbol
_atom_site_fract_x
_atom_site_fract_y
_atom_site_fract_z
Mg1 Mg 0.0000 0.0000 0.0000
Cd1 Cd 0.5000 0.5000 0.5000
Te1 Te 0.0000 0.5000 0.2464

***

[6]
# Mg3TiCd, relaxed, DFT PBEsol
# Energy of formation in eV/atom: 1.0205
# Final energy in eV per atom: -1.914
# Total magnetization in μB per cell: 3.1
data_Mg3TiCd
_chemical_formula_sum 'Mg3 Ti1 Cd1'
_space_group_name_H-M_alt 'P m -3 m'
_space_group_IT_number 221
_space_group_name_Hall '-P 4 2 3'
_cell_length_a 5.3416
_cell_length_b 5.3416
_cell_length_c 5.3416
_cell_angle_alpha 90.00
_cell_angle_beta 90.00
_cell_angle_gamma 90.00
loop_
_atom_site_label
_atom_site_type_symbol
_atom_site_fract_x
_atom_site_fract_y
_atom_site_fract_z
Mg1 Mg 0.0000 0.0000 0.5000
Ti1 Ti 0.0000 0.0000 0.0000
Cd1 Cd 0.5000 0.5000 0.5000